(1)
First-principles (PBE) data for NaTaAl2Os after structural relaxation, as listed in Alexandria.

The structure belongs to space group P4/mmm (No. 123); the cell edges are 5.162, 5.162 and 4.744 Å and the angles 90.00°, 90.00° and 90.00°. The asymmetric unit holds Na at (0.000, 0.000, 0.000), Ta at (0.500, 0.500, 0.500), Al at (0.000, 0.500, 0.500) and Os at (0.500, 0.500, 0.000).

The calculation puts the formation energy at 4.97 eV/f.u. Its crystal system is tetragonal.

***

(2)
First-principles (PBE) data for Na2TaAlOs after structural relaxation, as listed in Alexandria.

The structure belongs to space group P4/mmm (No. 123); the cell edges are 5.759, 5.759 and 4.640 Å and the angles 90.00°, 90.00° and 90.00°. The asymmetric unit holds Na at (0.000, 0.500, 0.000), Ta at (0.000, 0.000, 0.000), Al at (0.500, 0.500, 0.500) and Os at (0.000, 0.000, 0.500).

The calculation puts the formation energy at 8.27 eV/f.u. Its crystal system is tetragonal.

***

(3)
First-principles (PBE) data for NaAl2TeOs after structural relaxation, as listed in Alexandria.

The structure belongs to space group P4/mmm (No. 123); the cell edges are 4.760, 4.760 and 5.593 Å and the angles 90.00°, 90.00° and 90.00°. The asymmetric unit holds Na at (0.000, 0.000, 0.000), Al at (0.000, 0.500, 0.500), Te at (0.500, 0.500, 0.000) and Os at (0.500, 0.500, 0.500).

Its crystal system is tetragonal. Its raw formation energy is 0.099 eV per atom.

***

(4)
First-principles (PBE) data for Na2ZrAlOs after structural relaxation, as listed in Alexandria.

The structure belongs to space group P4/mmm (No. 123); the cell edges are 4.742, 4.742 and 4.809 Å and the angles 90.00°, 90.00° and 90.00°. The asymmetric unit holds Na at (0.000, 0.500, 0.000), Zr at (0.000, 0.000, 0.500), Al at (0.500, 0.500, 0.000) and Os at (0.500, 0.500, 0.500).

The calculation puts the formation energy at 5.50 eV/f.u. Its crystal system is tetragonal.

***

(5)
First-principles (PBE) data for NaAlP after structural relaxation, as listed in Alexandria.

The structure belongs to space group C2/m (No. 12); the cell edges are 9.696, 3.879 and 7.115 Å and the angles 90.00°, 100.68° and 90.00°. The asymmetric unit holds Na at (0.124, 0.000, 0.345), Al at (0.125, 0.500, 0.951) and P at (0.179, 0.000, 0.770).

The calculation puts the formation energy at -1.41 eV/f.u. Its crystal system is monoclinic.

***

(6)
First-principles (PBE) data for Na2Al2P after structural relaxation, as listed in Alexandria.

The structure belongs to space group P4/mbm (No. 127); the cell edges are 6.583, 6.583 and 5.189 Å and the angles 90.00°, 90.00° and 90.00°. The asymmetric unit holds Na at (0.173, 0.327, 0.000), Al at (0.140, 0.640, 0.500) and P at (0.000, 0.000, 0.500).

The calculation puts the formation energy at 0.21 eV/f.u. Its crystal system is tetragonal.

***

(7)
First-principles (PBE) data for Na2AlP2 after structural relaxation, as listed in Alexandria.

The structure belongs to space group I4/mmm (No. 139); the cell edges are 3.339, 3.339 and 19.571 Å and the angles 90.00°, 90.00° and 90.00°. The asymmetric unit holds Na at (0.000, 0.000, 0.119), Al at (0.000, 0.000, 0.500) and P at (0.000, 0.500, 0.250).

The relative energy among the computed polymorphs is 45.0 kJ/mol of atoms. The calculation puts the formation energy at 0.51 eV/f.u. Its crystal system is tetragonal.

***

(8)
First-principles (PBE) data for Na2AlP2 after structural relaxation, as listed in Alexandria.

The structure belongs to space group P4/mbm (No. 127); the cell edges are 8.515, 8.515 and 2.687 Å and the angles 90.00°, 90.00° and 90.00°. The asymmetric unit holds Na at (0.119, 0.381, 0.000), Al at (0.000, 0.000, 0.000) and P at (0.180, 0.680, 0.500).

The relative energy among the computed polymorphs is 52.7 kJ/mol of atoms. The calculation puts the formation energy at 0.91 eV/f.u. Its crystal system is tetragonal.

***

(9)
First-principles (PBE) data for Na2Al2P3 after structural relaxation, as listed in Alexandria.

The structure belongs to space group C2/c (No. 15); the cell edges are 15.079, 13.457 and 6.668 Å and the angles 90.00°, 114.71° and 90.00°. The asymmetric unit holds Na at (0.000, 0.068, 0.250), Na at (0.000, 0.209, 0.750), Na at (0.099, 0.416, 0.616), Al at (0.196, 0.225, 0.262), Al at (0.217, 0.077, 0.767), P at (0.116, 0.373, 0.077), P at (0.138, 0.218, 0.544) and P at (0.162, 0.073, 0.058).

The calculation puts the formation energy at -2.96 eV/f.u. Its crystal system is monoclinic.

***

(10)
First-principles (PBE) data for Na2AlP2 after structural relaxation, as listed in Alexandria.

The structure belongs to space group C2/c (No. 15); the cell edges are 10.721, 7.098 and 5.787 Å and the angles 90.00°, 105.59° and 90.00°. The asymmetric unit holds Na at (0.143, 0.115, 0.073), Al at (0.000, 0.478, 0.250) and P at (0.118, 0.292, 0.585).

The relative energy among the computed polymorphs is 0.0 kJ/mol of atoms. The calculation puts the formation energy at -1.82 eV/f.u. Its crystal system is monoclinic.

***

(11)
First-principles (PBE) data for Na2AlP2 after structural relaxation, as listed in Alexandria.

The structure belongs to space group P4/mbm (No. 127); the cell edges are 6.420, 6.420 and 4.756 Å and the angles 90.00°, 90.00° and 90.00°. The asymmetric unit holds Na at (0.177, 0.323, 0.000), Al at (0.000, 0.000, 0.500) and P at (0.126, 0.626, 0.500).

The relative energy among the computed polymorphs is 12.7 kJ/mol of atoms. The calculation puts the formation energy at -1.16 eV/f.u. Its crystal system is tetragonal.

***

(12)
First-principles (PBE) data for NaAl2P after structural relaxation, as listed in Alexandria.

The structure belongs to space group I-42d (No. 122); the cell edges are 7.861, 7.861 and 5.306 Å and the angles 90.00°, 90.00° and 90.00°. The asymmetric unit holds Na at (0.000, 0.000, 0.000), Al at (0.177, 0.250, 0.625) and P at (0.000, 0.000, 0.500).

The calculation puts the formation energy at -0.38 eV/f.u. Its crystal system is tetragonal.

***

no.,magnetic moment (μB/atom),theoretical density (g/cm³)
1,0.00,5.89
2,0.00,4.79
3,0.00,5.17
4,0.00,5.44
5,0.00,2.04
6,0.00,1.93
7,0.00,2.05
8,0.00,2.30
9,0.13,2.08
10,0.00,2.11
11,0.00,2.29
12,0.00,2.19